A relaxed Th2MoC crystal, computed with PBE.

Output
total DFT energy (no corrections) = -8.15 eV/atom
V = 270.0 Å³ per cell
DFT formation energy = 574 meV/atom
DOS at the Fermi energy = 12.81 states/eV/cell

a b c (Å): 3.5607 3.5607 24.5873
angles (deg): 90.00 90.00 120.00
Space group R-3m (No. 166, hexagonal axes)
One atom of each set of equivalent atoms:
Th (0.0000, 0.0000, 0.1054) [6 per cell]
Mo (0.0000, 0.0000, 0.0000) [3 per cell]
C (0.0000, 0.0000, 0.5000) [3 per cell]



A relaxed Li3GaTc crystal, computed with PBE.

Output
polymorph energy (0 for the lowest one) = 97 meV/atom
total DFT energy (no corrections) = -2.75 eV/atom
V = 112.8 Å³ per cell
DFT formation energy = 1074 meV/atom
DOS at the Fermi energy = 10.41 states/eV/cell

a b c (Å): 4.832 4.832 4.832
angles (deg): 90.00 90.00 90.00
Space group Pm-3m (No. 221)
One atom of each set of equivalent atoms:
Li (0.000, 0.000, 0.500) [3 per cell]
Ga (0.500, 0.500, 0.500) [1 per cell]
Tc (0.000, 0.000, 0.000) [1 per cell]